Record 1
MnSiCl3 PBE-GGA optimized geometry; relative energy among the computed polymorphs = 0.000 eV/atom; DFT total energy = -4.18 eV/atom
1.0
4.9492 0.0000 0.0000
0.0000 4.9492 0.0000
0.0000 0.0000 4.9492
Mn Si Cl
1 1 3
Direct
0.0000 0.0000 0.0000
0.5000 0.5000 0.5000
0.0000 0.0000 0.5000
0.0000 0.5000 0.0000
0.5000 0.0000 0.0000

Record 2
Mo2As PBE-GGA optimized geometry; relative energy among the computed polymorphs = 0.571 eV/atom; DFT total energy = -8.23 eV/atom; ΔH_f (0 K) = 0.537 eV/atom
1.0
0.0000 3.7135 3.7135
3.7135 0.0000 3.7135
3.7135 3.7135 0.0000
Mo As
4 2
Direct
0.0000 0.0000 0.0000
0.0000 0.0000 0.5000
0.0000 0.5000 0.0000
0.5000 0.0000 0.0000
0.3750 0.3750 0.3750
0.6250 0.6250 0.6250

Record 3
ScIr2Au PBE-GGA optimized geometry; relative energy among the computed polymorphs = 0.289 eV/atom; DFT total energy = -7.04 eV/atom; ΔH_f (0 K) = -0.211 eV/atom
1.0
2.8652 0.0000 0.0000
0.0000 2.8652 0.0000
0.0000 0.0000 8.0627
Sc Ir Au
1 2 1
Direct
0.0000 0.0000 0.0000
0.0000 0.0000 0.5288
0.5000 0.5000 0.7522
0.5000 0.5000 0.2647

Record 4
CeAl3CuNi PBE-GGA optimized geometry; DFT total energy = -4.78 eV/atom; ΔH_f (0 K) = -0.278 eV/atom
1.0
3.0298 -6.0484 0.0000
3.0298 6.0484 0.0000
0.0000 0.0000 5.7729
Ce Al Cu Ni
2 6 2 2
Direct
0.2248 0.7752 0.7500
0.7752 0.2248 0.2500
0.2141 0.2141 0.0000
0.2141 0.2141 0.5000
0.3610 0.6390 0.2500
0.6390 0.3610 0.7500
0.7859 0.7859 0.0000
0.7859 0.7859 0.5000
0.1462 0.8538 0.2500
0.8538 0.1462 0.7500
0.4270 0.5730 0.7500
0.5730 0.4270 0.2500

Record 5
AcYAs2Rh5 PBE-GGA optimized geometry; DFT total energy = -6.89 eV/atom; ΔH_f (0 K) = -0.595 eV/atom
1.0
4.1445 0.0000 0.0000
0.0000 4.1445 0.0000
0.0000 0.0000 11.2183
Ac Y As Rh
1 1 2 5
Direct
0.0000 0.0000 0.0000
0.0000 0.0000 0.5000
0.5000 0.5000 0.2138
0.5000 0.5000 0.7862
0.0000 0.5000 0.3178
0.0000 0.5000 0.6822
0.5000 0.0000 0.3178
0.5000 0.0000 0.6822
0.5000 0.5000 0.0000

Record 6
BaYSc2 PBE-GGA optimized geometry; relative energy among the computed polymorphs = 0.144 eV/atom; DFT total energy = -4.93 eV/atom; ΔH_f (0 K) = 0.337 eV/atom
1.0
0.0000 4.0181 4.0181
4.0181 0.0000 4.0181
4.0181 4.0181 0.0000
Ba Y Sc
1 1 2
Direct
0.0000 0.0000 0.0000
0.5000 0.5000 0.5000
0.2500 0.2500 0.2500
0.7500 0.7500 0.7500

Record 7
CaCl2 PBE-GGA optimized geometry; DFT total energy = -4.23 eV/atom
1.0
2.0739 -9.1205 0.0000
2.0739 9.1205 0.0000
0.0000 0.0000 5.4239
Ca Cl
2 4
Direct
0.1708 0.8292 0.7500
0.8292 0.1708 0.2500
0.2154 0.7846 0.2500
0.4168 0.5832 0.2500
0.5832 0.4168 0.7500
0.7846 0.2154 0.7500

Record 8
Hg4Ru3 PBE-GGA optimized geometry; relative energy among the computed polymorphs = 0.247 eV/atom; DFT total energy = -3.49 eV/atom; ΔH_f (0 K) = 0.656 eV/atom
1.0
5.3950 0.0000 0.0000
-2.6975 4.6722 0.0000
0.0000 0.0000 5.3332
Hg Ru
4 3
Direct
0.0000 0.0000 0.2494
0.0000 0.0000 0.7506
0.3333 0.6667 0.0000
0.6667 0.3333 0.0000
0.0000 0.5000 0.5000
0.5000 0.0000 0.5000
0.5000 0.5000 0.5000

Record 9
Sr2AsPd3 PBE-GGA optimized geometry; DFT total energy = -4.63 eV/atom; ΔH_f (0 K) = -0.702 eV/atom
1.0
4.3277 0.0000 0.0000
0.0000 4.3685 0.0000
0.0000 0.0000 7.7404
Sr As Pd
2 1 3
Direct
0.0000 0.0000 0.0000
0.0000 0.5000 0.4890
0.5000 0.5000 0.8175
0.5000 0.0000 0.3336
0.5000 0.0000 0.6759
0.5000 0.5000 0.1343

Record 10
Rb5Na4Ge2 PBE-GGA optimized geometry; DFT total energy = -1.69 eV/atom; ΔH_f (0 K) = 0.072 eV/atom
1.0
-2.4212 5.3962 11.4451
2.4212 -5.3962 11.4451
2.4212 5.3962 -11.4451
Rb Na Ge
5 4 2
Direct
0.0000 0.0000 0.0000
0.0632 0.3442 0.7190
0.3748 0.6558 0.7190
0.6252 0.3442 0.2810
0.9368 0.6558 0.2810
0.3158 0.8158 0.5000
0.3554 0.5000 0.8554
0.6446 0.5000 0.1446
0.6842 0.1842 0.5000
0.4471 0.9471 0.5000
0.5529 0.0529 0.5000

Record 11
KBaSn6 PBE-GGA optimized geometry; DFT total energy = -3.65 eV/atom; ΔH_f (0 K) = -0.274 eV/atom
1.0
5.6801 0.0000 0.0000
0.0000 3.6635 6.3116
0.0000 -3.6635 6.3116
K Ba Sn
1 1 6
Direct
0.0000 0.0000 0.0000
0.5000 0.3311 0.3311
0.0000 0.5260 0.5260
0.0000 0.5285 0.9424
0.0000 0.9424 0.5285
0.5000 0.3874 0.8032
0.5000 0.8032 0.3874
0.5000 0.8056 0.8056

Record 12
BiCI2 PBE-GGA optimized geometry; relative energy among the computed polymorphs = 0.000 eV/atom; DFT total energy = -2.60 eV/atom
1.0
-3.4336 3.4336 5.6455
3.4336 -3.4336 5.6455
3.4336 3.4336 -5.6455
Bi C I
2 2 4
Direct
0.0000 0.0000 0.0000
0.7500 0.2500 0.5000
0.2500 0.7500 0.5000
0.5000 0.5000 0.0000
0.2957 0.6250 0.1707
0.3750 0.5457 0.6707
0.4543 0.1250 0.8293
0.8750 0.7043 0.3293

Record 13
Cd3Sb2Cl PBE-GGA optimized geometry; DFT total energy = -2.33 eV/atom
1.0
4.0659 -6.9605 0.0000
4.0659 6.9605 0.0000
-3.7200 0.0000 7.1581
Cd Sb Cl
6 4 2
Direct
0.0799 0.9201 0.5000
0.3050 0.7865 0.0160
0.4283 0.6225 0.5057
0.6225 0.4283 0.0057
0.7865 0.3050 0.5160
0.9201 0.0799 0.0000
0.3890 0.9141 0.4039
0.5524 0.6951 0.8843
0.6951 0.5524 0.3843
0.9141 0.3890 0.9039
0.0483 0.2259 0.3955
0.2259 0.0483 0.8955

Record 14
SrLaBeC2 PBE-GGA optimized geometry; DFT total energy = -4.18 eV/atom; ΔH_f (0 K) = 1.576 eV/atom
1.0
4.6629 0.0000 0.0000
0.0000 4.6629 0.0000
0.0000 0.0000 5.1663
Sr La Be C
1 1 1 2
Direct
0.0000 0.0000 0.0000
0.5000 0.5000 0.5000
0.5000 0.5000 0.0000
0.0000 0.5000 0.5000
0.5000 0.0000 0.5000

Record 15
Ca2InIrN PBE-GGA optimized geometry; DFT total energy = -5.33 eV/atom
1.0
5.1578 0.0000 0.0000
0.0000 5.1578 0.0000
0.0000 0.0000 3.8326
Ca In Ir N
2 1 1 1
Direct
0.0000 0.5000 0.0000
0.5000 0.0000 0.0000
0.0000 0.0000 0.5000
0.5000 0.5000 0.5000
0.5000 0.5000 0.0000

Record 16
Zn2HRuAu PBE-GGA optimized geometry; DFT total energy = -3.75 eV/atom
1.0
4.1964 0.0000 0.0000
0.0000 4.1964 0.0000
0.0000 0.0000 3.5360
Zn H Ru Au
2 1 1 1
Direct
0.0000 0.5000 0.0000
0.5000 0.0000 0.0000
0.0000 0.0000 0.0000
0.0000 0.0000 0.5000
0.5000 0.5000 0.5000

Record 17
BaYIr2 PBE-GGA optimized geometry; relative energy among the computed polymorphs = 0.078 eV/atom; DFT total energy = -6.74 eV/atom; ΔH_f (0 K) = -0.208 eV/atom
1.0
2.4325 -2.4308 0.0000
2.4325 2.4308 0.0000
-0.0123 0.0000 7.8706
Ba Y Ir
1 1 2
Direct
0.0000 0.0000 0.0000
0.0000 0.0000 0.5000
0.4997 0.4997 0.2908
0.5003 0.5003 0.7092